Entry from OQMD via LeMat-Bulk: crystalline YFeReAs at its relaxed geometry (PBE-GGA).

Calculated values
E above lowest polymorph	68.1	meV per atom
symmetry	F-43m
mass density	9.6	Mg/m³

Lattice parameters (Å, degrees): 4.6358 4.6358 4.6358 60.00 60.00 60.00
Positions (direct):
As: 0.0000 0.0000 0.0000
Fe: 0.7500 0.7500 0.7500
Re: 0.5000 0.5000 0.5000
Y: 0.2500 0.2500 0.2500


Entry from OQMD via LeMat-Bulk: crystalline LiCd2Pd at its relaxed geometry (PBE-GGA).

Calculated values
E above lowest polymorph	89.0	meV per atom
symmetry	F-43m
mass density	8.2	Mg/m³

Lattice parameters (Å, degrees): 4.5988 4.5988 4.5988 60.00 60.00 60.00
Positions (direct):
Cd: 0.0000 0.0000 0.0000
Cd: 0.7500 0.7500 0.7500
Li: 0.5000 0.5000 0.5000
Pd: 0.2500 0.2500 0.2500


Entry from OQMD via LeMat-Bulk: crystalline TlAgTe at its relaxed geometry (PBE-GGA).

Calculated values
E above lowest polymorph	188.8	meV per atom
symmetry	F-43m
mass density	7.6	Mg/m³

Lattice parameters (Å, degrees): 5.1316 5.1316 5.1316 60.00 60.00 60.00
Positions (direct):
Ag: 0.2500 0.2500 0.2500
Te: 0.0000 0.0000 0.0000
Tl: 0.7500 0.7500 0.7500


Entry from OQMD via LeMat-Bulk: crystalline GdHoAg2Sb4 at its relaxed geometry (PBE-GGA).

Calculated values
symmetry	P4mm
mass density	8.7	Mg/m³
E_tot	-4.545	eV/atom

Lattice parameters (Å, degrees): 4.3381 4.3381 10.4394 90.00 90.00 90.00
Positions (direct):
Ag: 0.5000 0.0000 0.4993
Ag: 0.0000 0.5000 0.4993
Gd: 0.0000 0.0000 0.7641
Ho: 0.5000 0.5000 0.2357
Sb: 0.5000 0.0000 0.0016
Sb: 0.0000 0.5000 0.0016
Sb: 0.0000 0.0000 0.3142
Sb: 0.5000 0.5000 0.6842


Entry from OQMD via LeMat-Bulk: crystalline ZnSbMo2 at its relaxed geometry (PBE-GGA).

Calculated values
symmetry	F-43m
mass density	9.3	Mg/m³
E_tot	-6.378	eV/atom

Lattice parameters (Å, degrees): 4.5689 4.5689 4.5689 60.00 60.00 60.00
Positions (direct):
Mo: 0.0000 0.0000 0.0000
Mo: 0.7500 0.7500 0.7500
Sb: 0.5000 0.5000 0.5000
Zn: 0.2500 0.2500 0.2500


Entry from OQMD via LeMat-Bulk: crystalline Ga2Pd at its relaxed geometry (PBE-GGA).

Calculated values
symmetry	Fd-3m
mass density	2.5	Mg/m³
E_tot	-3.512	eV/atom

Lattice parameters (Å, degrees): 7.7474 7.7474 7.7474 60.00 60.00 60.00
Positions (direct):
Ga: 0.3750 0.3750 0.3750
Ga: 0.8750 0.3750 0.3750
Ga: 0.3750 0.8750 0.3750
Ga: 0.3750 0.3750 0.8750
Pd: 0.2500 0.2500 0.2500
Pd: 0.5000 0.5000 0.5000


Entry from OQMD via LeMat-Bulk: crystalline LiDyHg at its relaxed geometry (PBE-GGA).

Calculated values
E above lowest polymorph	288.1	meV per atom
symmetry	F-43m
mass density	7.4	Mg/m³

Lattice parameters (Å, degrees): 4.8871 4.8871 4.8871 60.00 60.00 60.00
Positions (direct):
Dy: 0.0000 0.0000 0.0000
Hg: 0.2500 0.2500 0.2500
Li: 0.7500 0.7500 0.7500


Entry from OQMD via LeMat-Bulk: crystalline AcLuAg at its relaxed geometry (PBE-GGA).

Calculated values
E above lowest polymorph	617.4	meV per atom
symmetry	F-43m
mass density	8.4	Mg/m³

Lattice parameters (Å, degrees): 5.2332 5.2332 5.2332 60.00 60.00 60.00
Positions (direct):
Ac: 0.0000 0.0000 0.0000
Ag: 0.2500 0.2500 0.2500
Lu: 0.7500 0.7500 0.7500


Entry from OQMD via LeMat-Bulk: crystalline Cd13I28 at its relaxed geometry (PBE-GGA).

Calculated values
symmetry	P3m1
mass density	5.4	Mg/m³
E_tot	-1.847	eV/atom

Lattice parameters (Å, degrees): 4.2861 4.2861 97.3436 90.00 90.00 120.00
Positions (direct):
Cd: 0.0000 0.0000 0.0179
Cd: 0.6667 0.3333 0.0901
Cd: 0.6667 0.3333 0.2314
Cd: 0.0000 0.0000 0.3035
Cd: 0.6667 0.3333 0.3750
Cd: 0.0000 0.0000 0.4465
Cd: 0.6667 0.3333 0.5179
Cd: 0.0000 0.0000 0.5893
Cd: 0.6667 0.3333 0.6607
Cd: 0.0000 0.0000 0.7321
Cd: 0.6667 0.3333 0.8035
Cd: 0.0000 0.0000 0.8750
Cd: 0.0000 0.0000 0.9465
I: 0.6667 0.3333 0.0001
I: 0.3333 0.6667 0.0357
I: 0.0000 0.0000 0.0723
I: 0.3333 0.6667 0.1079
I: 0.6667 0.3333 0.1482
I: 0.3333 0.6667 0.1734
I: 0.0000 0.0000 0.2135
I: 0.3333 0.6667 0.2492
I: 0.6667 0.3333 0.2857
I: 0.3333 0.6667 0.3212
I: 0.0000 0.0000 0.3573
I: 0.3333 0.6667 0.3927
I: 0.6667 0.3333 0.4287
I: 0.3333 0.6667 0.4642
I: 0.0000 0.0000 0.5001
I: 0.3333 0.6667 0.5356
I: 0.6667 0.3333 0.5716
I: 0.3333 0.6667 0.6070
I: 0.0000 0.0000 0.6430
I: 0.3333 0.6667 0.6784
I: 0.6667 0.3333 0.7144
I: 0.3333 0.6667 0.7499
I: 0.0000 0.0000 0.7858
I: 0.3333 0.6667 0.8213
I: 0.6667 0.3333 0.8572
I: 0.3333 0.6667 0.8927
I: 0.6667 0.3333 0.9287
I: 0.3333 0.6667 0.9642


Entry from OQMD via LeMat-Bulk: crystalline ZrScCu at its relaxed geometry (PBE-GGA).

Calculated values
E above lowest polymorph	6.7	meV per atom
symmetry	P4/mmm
mass density	5.7	Mg/m³

Lattice parameters (Å, degrees): 3.2001 3.2001 11.3641 90.00 90.00 90.00
Site moments in Bohr magnetons follow the coordinates.
Positions (direct):
Cu: 0.0000 0.0000 0.0000  0.00
Cu: 0.5000 0.5000 0.5000  0.00
Sc: 0.0000 0.0000 0.3494  0.04
Sc: 0.0000 0.0000 0.6506  0.04
Zr: 0.5000 0.5000 0.1532  0.08
Zr: 0.5000 0.5000 0.8468  0.08


Entry from OQMD via LeMat-Bulk: crystalline TaNiIrPb at its relaxed geometry (PBE-GGA).

Calculated values
symmetry	F-43m
mass density	15.8	Mg/m³
E_tot	-7.222	eV/atom

Lattice parameters (Å, degrees): 4.5628 4.5628 4.5628 60.00 60.00 60.00
Positions (direct):
Ir: 0.5000 0.5000 0.5000
Ni: 0.7500 0.7500 0.7500
Pb: 0.0000 0.0000 0.0000
Ta: 0.2500 0.2500 0.2500


Entry from OQMD via LeMat-Bulk: crystalline LiAcPd at its relaxed geometry (PBE-GGA).

Calculated values
E above lowest polymorph	0.0	meV per atom
symmetry	P4/nmm
mass density	7.6	Mg/m³

Lattice parameters (Å, degrees): 4.2671 4.2671 8.1268 90.01 90.01 90.00
Positions (direct):
Ac: 0.2501 0.2501 0.1709
Ac: 0.7499 0.7499 0.8291
Li: 0.7500 0.2500 0.5000
Li: 0.2500 0.7500 0.5000
Pd: 0.7500 0.7500 0.2458
Pd: 0.2500 0.2500 0.7542